Density functional theory data (GGA+U) for a geometry-optimized Ti3Cr3Sb2O16 structure.

Results
Electronic total energy: -7.645 eV per atom
Space-group type: P1, No. 1

Unit cell a=5.959 b=5.987 c=9.345 alpha=90.13 beta=90.09 gamma=119.84
Element x y z (fractional)
Ti 0.000 0.000 0.000
Ti 0.003 0.498 0.997
Ti 0.168 0.842 0.486
Cr 0.492 0.494 0.996
Cr 0.653 0.819 0.509
Cr 0.668 0.321 0.496
Sb 0.178 0.340 0.276
Sb 0.507 0.002 0.776
O 0.010 0.009 0.389
O 0.014 0.502 0.389
O 0.152 0.323 0.890
O 0.184 0.839 0.893
O 0.309 0.185 0.127
O 0.309 0.621 0.125
O 0.352 0.130 0.624
O 0.362 0.704 0.628
O 0.501 0.979 0.394
O 0.503 0.496 0.388
O 0.671 0.841 0.890
O 0.672 0.328 0.887
O 0.792 0.133 0.626
O 0.834 0.667 0.587
O 0.840 0.668 0.090
O 0.881 0.191 0.128